[1]
LaHoBi: relaxed, PBE.

Lattice parameters (Å, degrees): 5.288 5.288 4.141 90.00 90.00 120.00
Fractional positions:
La1 0.000 0.000 0.000
Ho1 0.333 0.667 0.515
Bi1 0.667 0.333 0.431

Results
size of the total moment: 0.004 μB per cell
energy: -4.81 eV per atom
energy of formation: -0.35 eV/atom


[2]
BaAgRu2: relaxed, PBE.

Lattice parameters (Å, degrees): 5.437 5.437 5.437 133.32 133.32 68.16
Fractional positions:
Ba1 0.000 0.000 0.000
Ag1 0.500 0.500 0.000
Ru1 0.250 0.750 0.500
Ru2 0.750 0.250 0.500

Results
size of the total moment: 2.856 μB per cell
energy: -4.80 eV per atom
ΔE to the lowest computed polymorph: 731 meV per atom
energy of formation: 1.03 eV/atom